VASP calculation (meta-GGA SCAN) on a PBEsol-optimized structure of CeSi2Ni9.

Values from the calculation:
Formation energy (no corrections) in eV/atom: -0.469
Magnetic moment in μB/atom: 0.00

Geometry as extended XYZ:
```
24
Lattice="-5.285 -2.982 -0.651 -1.000 -2.993 -6.783 0.352 -7.259 1.777" Properties=species:S:1:pos:R:3 pbc="T T T"
Si -4.786 -5.172 -1.821
Ni -1.153 -5.324 -5.710
Ni -0.419 -8.739 -2.938
Ni -0.349 -7.859 -0.623
Ni 0.000 0.000 0.000
Ni -3.586 -6.761 -0.591
Ni -1.113 -2.942 -2.641
Ni -3.175 -4.420 -0.350
Si -4.610 -8.801 -0.933
Ni -2.302 -3.523 -4.630
Ni -1.499 -6.058 0.457
Ce -2.643 -1.491 -0.326
Si -5.286 -6.668 -5.213
Si -2.467 -8.807 -3.999
Ni -4.181 -9.931 -2.938
Ni -4.516 -8.874 -5.059
Ni -3.510 -3.363 -2.472
Ni -4.288 -7.362 -2.991
Ni -2.985 -6.832 -5.145
Ni -0.778 -3.999 -0.519
Ni -0.754 -7.682 -5.060
Ce -1.645 -5.871 -2.666
Ni -4.135 -5.030 -4.065
Ni -2.436 -8.563 -1.671
```